This record from the Open Quantum Materials Database describes a relaxed DyScPd crystal. The functional is PBE.

CIF file:
```
data_DyScPd
_cell_length_a 6.5900
_cell_length_b 6.5900
_cell_length_c 6.5900
_cell_angle_alpha 90.00
_cell_angle_beta 90.00
_cell_angle_gamma 90.00
_space_group_name_H-M_alt 'F -4 3 m'
_space_group_IT_number 216
_space_group_name_Hall 'F -4 2 3'
loop_
_atom_site_label
_atom_site_fract_x
_atom_site_fract_y
_atom_site_fract_z
Dy1 0.0000 0.0000 0.0000
Sc1 0.2500 0.2500 0.2500
Pd1 0.2500 0.2500 0.7500
```

Calculated values
Energy relative to the lowest polymorph listed for this composition in meV/atom: 670
Size of the total moment in μB/f.u.: 0.0
Energy of formation in meV per atom: 213